Computed, not measured: an optimized crystal structure of Ba2LaY at the GGA-PBE level of DFT.

Lattice parameters (Å, degrees): 3.8335 6.5783 7.1328 90.00 96.83 90.00
Closest atoms and distances in Å follow each position.
Space group P2/m (No. 10)
One atom of each set of equivalent atoms:
Ba (0.2479, 0.0000, 0.2531) (multiplicity 2)  5 Ba 3.81-4.20, 2 Y 3.90, 2 La 3.93
La (0.5000, 0.5000, 0.0000) (multiplicity 1)  2 La 3.83, 4 Y 3.84-4.24, 4 Ba 3.93
Y (0.0000, 0.5000, 0.5000) (multiplicity 1)  2 Y 3.83, 4 La 3.84-4.24, 4 Ba 3.90



Computed, not measured: an optimized crystal structure of Ba2LaY at the GGA-PBE level of DFT.

Lattice parameters (Å, degrees): 8.9807 8.9807 8.9807 90.00 90.00 90.00
Closest atoms and distances in Å follow each position.
Space group Fm-3m (No. 225)
One atom of each set of equivalent atoms:
Ba (0.2500, 0.2500, 0.2500) (multiplicity 8)  4 La 3.89, 4 Y 3.89
La (0.0000, 0.0000, 0.0000) (multiplicity 4)  8 Ba 3.89
Y (0.0000, 0.0000, 0.5000) (multiplicity 4)  8 Ba 3.89



Computed, not measured: an optimized crystal structure of Ba2LaY at the GGA-PBE level of DFT.

Lattice parameters (Å, degrees): 9.8045 9.8045 7.3073 90.00 90.00 90.00
Closest atoms and distances in Å follow each position.
Space group I-42d (No. 122)
One atom of each set of equivalent atoms:
Ba (0.2396, 0.2500, 0.1250) (multiplicity 8)  2 La 3.52, 2 Y 3.66, 2 Ba 3.66
La (0.0000, 0.0000, 0.0000) (multiplicity 4)  4 Ba 3.52, 2 Y 3.65
Y (0.0000, 0.0000, 0.5000) (multiplicity 4)  2 La 3.65, 4 Ba 3.66



Computed, not measured: an optimized crystal structure of Ba2LaY at the GGA-PBE level of DFT.

Lattice parameters (Å, degrees): 4.2789 6.3526 13.1119 90.00 90.00 90.00
Closest atoms and distances in Å follow each position.
Space group Cmmm (No. 65)
One atom of each set of equivalent atoms:
Ba (0.0000, 0.0000, 0.2428) (multiplicity 4)  6 Ba 3.83-4.28, 2 Y 3.84, 2 La 3.99
La (0.0000, 0.5000, 0.5000) (multiplicity 2)  6 La 3.83-4.28, 4 Ba 3.99
Y (0.0000, 0.5000, 0.0000) (multiplicity 2)  6 Y 3.83-4.28, 4 Ba 3.84



Computed, not measured: an optimized crystal structure of Ba2LaY at the GGA-PBE level of DFT.

Lattice parameters (Å, degrees): 4.0241 4.0241 11.4214 90.00 90.00 90.00
Closest atoms and distances in Å follow each position.
Space group P4mm (No. 99)
One atom of each set of equivalent atoms:
Ba (0.0000, 0.0000, 0.0000) (multiplicity 1)  4 Y 3.99, 4 Ba 4.02
Ba (0.5000, 0.5000, 0.3072) (multiplicity 1)  4 Ba 4.02, 4 La 4.10
La (0.0000, 0.0000, 0.5660) (multiplicity 1)  4 Y 3.57
Y (0.5000, 0.5000, 0.7554) (multiplicity 1)  4 La 3.57, 4 Ba 3.99



Computed, not measured: an optimized crystal structure of Ba2LaY at the GGA-PBE level of DFT.

Lattice parameters (Å, degrees): 8.9771 8.9771 8.9771 90.00 90.00 90.00
Closest atoms and distances in Å follow each position.
Space group F-43m (No. 216)
One atom of each set of equivalent atoms:
Ba (0.0000, 0.0000, 0.0000) (multiplicity 4)  4 Ba 3.89, 4 La 3.89
Ba (0.2500, 0.2500, 0.2500) (multiplicity 4)  4 Y 3.89, 4 Ba 3.89
La (0.2500, 0.2500, 0.7500) (multiplicity 4)  4 Ba 3.89, 4 Y 3.89
Y (0.0000, 0.0000, 0.5000) (multiplicity 4)  4 Ba 3.89, 4 La 3.89



Computed, not measured: an optimized crystal structure of Ba2LaY at the GGA-PBE level of DFT.

Lattice parameters (Å, degrees): 4.2782 6.3646 13.1491 90.00 90.00 90.00
Closest atoms and distances in Å follow each position.
Space group Immm (No. 71)
One atom of each set of equivalent atoms:
Ba (0.0000, 0.0000, 0.2366) (multiplicity 4)  2 Y 3.78, 4 Ba 3.85, 2 La 4.07
La (0.0000, 0.5000, 0.0000) (multiplicity 2)  4 Y 3.83, 4 Ba 4.07, 2 La 4.28
Y (0.0000, 0.5000, 0.5000) (multiplicity 2)  4 Ba 3.78, 4 La 3.83



Computed, not measured: an optimized crystal structure of Ba2LaY at the GGA-PBE level of DFT.

Lattice parameters (Å, degrees): 13.0534 3.9118 7.0942 90.00 99.83 90.00
Closest atoms and distances in Å follow each position.
Space group Cm (No. 8)
One atom of each set of equivalent atoms:
Ba (0.0000, 0.0000, 0.0000) (multiplicity 2)  5 Ba 3.91-4.12, 4 Y 3.91-4.20, 3 La 3.95-4.08
Ba (0.2385, 0.0000, 0.7287) (multiplicity 2)  4 La 3.86-4.26, 5 Ba 3.91-4.12, 3 Y 3.97-3.99
La (0.2583, 0.5000, 0.2674) (multiplicity 2)  3 Y 3.65-4.06, 5 Ba 3.86-4.08, 2 La 3.91
Y (0.4864, 0.0000, 0.4728) (multiplicity 2)  3 La 3.65-4.06, 2 Y 3.91, 5 Ba 3.91-3.99



Calculated magnetization in order - 0.0; 0.0; 0.7; 0.0; 0.0; 0.0; 0.0; 0.0 μB per formula unit
Calculated VASP energy in order - -3.5327; -3.5002; -3.3141; -3.5348; -3.6756; -3.5432; -3.5451; -3.5915 eV/atom
Calculated N(E_F) in order - 7.38; 15.88; 29.40; 13.11; 5.99; 24.53; 13.38; 13.62 states/eV/cell